Entry from Alexandria via LeMat-Bulk: Ce4SbTe3 after structural relaxation (PBE-GGA).

## Properties
- DOS(E_F): 58.54 states/eV/cell
- Energy above the most stable polymorph in this dataset: 3 meV per atom

Unit cell a=9.038 b=12.738 c=4.476 alpha=90.00 beta=90.00 gamma=90.00
Fractional positions:
Ce1 0.000 0.248 0.000
Ce2 0.000 0.752 0.000
Ce3 0.247 0.000 0.500
Ce4 0.253 0.500 0.500
Ce5 0.500 0.252 0.000
Ce6 0.500 0.748 0.000
Ce7 0.747 0.500 0.500
Ce8 0.753 0.000 0.500
Sb1 0.000 0.000 0.000
Sb2 0.500 0.500 0.000
Te1 0.000 0.500 0.000
Te2 0.250 0.250 0.500
Te3 0.250 0.750 0.500
Te4 0.500 0.000 0.000
Te5 0.750 0.250 0.500
Te6 0.750 0.750 0.500

***

Entry from Alexandria via LeMat-Bulk: Ce4Sb2Te after structural relaxation (PBE-GGA).

## Properties
- DOS(E_F): 57.68 states/eV/cell
- Electronic total energy: -6.01 eV per atom

Unit cell a=8.151 b=8.151 c=8.151 alpha=109.51 beta=109.51 gamma=109.39
Fractional positions:
Ce1 0.125 0.227 0.749
Ce2 0.127 0.728 0.751
Ce3 0.272 0.023 0.399
Ce4 0.478 0.377 0.251
Ce5 0.623 0.875 0.101
Ce6 0.625 0.873 0.601
Ce7 0.773 0.522 0.899
Ce8 0.977 0.375 0.249
Sb1 0.250 0.625 0.125
Sb2 0.375 0.500 0.625
Sb3 0.500 0.125 0.875
Sb4 0.875 0.750 0.375
Te1 0.000 0.000 0.000
Te2 0.750 0.250 0.500

***

Entry from Alexandria via LeMat-Bulk: Ce2SbTe after structural relaxation (PBE-GGA).

## Properties
- DOS(E_F): 46.29 states/eV/cell
- Energy above the most stable polymorph in this dataset: 85 meV per atom

Unit cell a=4.389 b=4.389 c=23.619 alpha=90.00 beta=90.00 gamma=120.00
Fractional positions:
Ce1 0.000 0.000 0.000
Ce2 0.000 0.000 0.175
Ce3 0.333 0.667 0.667
Ce4 0.333 0.667 0.842
Ce5 0.667 0.333 0.333
Ce6 0.667 0.333 0.509
Sb1 0.000 0.000 0.586
Sb2 0.333 0.667 0.253
Sb3 0.667 0.333 0.920
Te1 0.000 0.000 0.756
Te2 0.333 0.667 0.422
Te3 0.667 0.333 0.089

***

Entry from Alexandria via LeMat-Bulk: Ce5Sb5Te after structural relaxation (PBE-GGA).

## Properties
- DOS(E_F): 27.79 states/eV/cell
- Electronic total energy: -5.74 eV per atom

Unit cell a=7.712 b=7.712 c=8.975 alpha=106.73 beta=106.73 gamma=48.30
Fractional positions:
Ce1 0.000 0.000 0.000
Ce2 0.332 0.332 0.661
Ce3 0.333 0.333 0.173
Ce4 0.667 0.667 0.827
Ce5 0.668 0.668 0.339
Sb1 0.163 0.163 0.334
Sb2 0.167 0.167 0.835
Sb3 0.500 0.500 0.500
Sb4 0.833 0.833 0.165
Sb5 0.837 0.837 0.666
Te1 0.500 0.500 0.000

***

Entry from Alexandria via LeMat-Bulk: Ce4SbTe3 after structural relaxation (PBE-GGA).

## Properties
- DOS(E_F): 28.32 states/eV/cell
- Energy above the most stable polymorph in this dataset: 0 meV per atom

Unit cell a=6.356 b=6.356 c=6.356 alpha=90.00 beta=90.00 gamma=90.00
Fractional positions:
Ce1 0.000 0.000 0.000
Ce2 0.000 0.500 0.500
Ce3 0.500 0.000 0.500
Ce4 0.500 0.500 0.000
Sb1 0.500 0.500 0.500
Te1 0.000 0.000 0.500
Te2 0.000 0.500 0.000
Te3 0.500 0.000 0.000

***

Entry from Alexandria via LeMat-Bulk: Ce6Sb5Te after structural relaxation (PBE-GGA).

## Properties
- DOS(E_F): 40.77 states/eV/cell
- Electronic total energy: -6.05 eV per atom

Unit cell a=7.786 b=7.786 c=7.818 alpha=99.55 beta=99.55 gamma=119.91
Fractional positions:
Ce1 0.080 0.416 0.748
Ce2 0.248 0.248 0.251
Ce3 0.416 0.080 0.748
Ce4 0.584 0.920 0.252
Ce5 0.752 0.752 0.749
Ce6 0.920 0.584 0.252
Sb1 0.000 0.000 0.500
Sb2 0.167 0.833 0.000
Sb3 0.335 0.665 0.500
Sb4 0.665 0.335 0.500
Sb5 0.833 0.167 0.000
Te1 0.500 0.500 0.000

***

Entry from Alexandria via LeMat-Bulk: CeThSbTe after structural relaxation (PBE-GGA).

## Properties
- DOS(E_F): 24.93 states/eV/cell
- Energy above the most stable polymorph in this dataset: 107 meV per atom

Unit cell a=7.696 b=7.696 c=7.696 alpha=90.00 beta=90.00 gamma=90.00
Fractional positions:
Ce1 0.000 0.000 0.000
Ce2 0.000 0.500 0.500
Ce3 0.500 0.000 0.500
Ce4 0.500 0.500 0.000
Th1 0.000 0.000 0.500
Th2 0.000 0.500 0.000
Th3 0.500 0.000 0.000
Th4 0.500 0.500 0.500
Sb1 0.250 0.250 0.250
Sb2 0.250 0.750 0.750
Sb3 0.750 0.250 0.750
Sb4 0.750 0.750 0.250
Te1 0.250 0.250 0.750
Te2 0.250 0.750 0.250
Te3 0.750 0.250 0.250
Te4 0.750 0.750 0.750

***

Entry from Alexandria via LeMat-Bulk: CeThSbTe after structural relaxation (PBE-GGA).

## Properties
- DOS(E_F): 8.14 states/eV/cell
- Energy above the most stable polymorph in this dataset: 0 meV per atom

Unit cell a=4.494 b=4.494 c=6.348 alpha=90.00 beta=90.00 gamma=90.00
Fractional positions:
Ce1 0.000 0.000 0.000
Th1 0.500 0.500 0.500
Sb1 0.000 0.000 0.500
Te1 0.500 0.500 0.000

***

| no. | density (g/cm3) |
| --- | --- |
| 1 | 6.86 |
| 2 | 7.42 |
| 3 | 6.70 |
| 4 | 6.31 |
| 5 | 6.89 |
| 6 | 6.76 |
| 7 | 9.06 |
| 8 | 8.05 |